First-principles (GGA+U) data for a relaxed structure of LiV2O5, as listed in Alexandria.

Calculated values
spin magnetization: 1.00 μB per formula unit
energy above the most stable polymorph in this dataset: 52 meV/atom

Lattice parameters (Å, degrees): 3.566 4.927 11.596 90.01 90.00 90.00
Site moments in Bohr magnetons follow the coordinates.
Sites, in units of the cell vectors:
1 Li 0.000 0.680 0.690  0.00
2 Li 0.500 0.320 0.190  0.00
3 V 0.500 0.139 0.601  1.02
4 V 0.500 0.070 0.899  0.09
5 V 0.000 0.861 0.101  1.02
6 V 0.000 0.930 0.399  0.09
7 O 0.000 0.529 0.131  -0.08
8 O 0.500 0.471 0.631  -0.08
9 O 0.500 0.399 0.893  -0.01
10 O 0.000 0.601 0.393  -0.01
11 O 0.000 0.949 0.931  -0.01
12 O 0.500 0.052 0.431  -0.01
13 O 0.500 0.006 0.075  -0.01
14 O 0.000 0.994 0.575  -0.01
15 O 0.500 0.963 0.752  -0.03
16 O 0.000 0.036 0.252  -0.03